1.
## Na3CeSc3Se8 (GGA-PBE)

Data for Na3CeSc3Se8 after structural relaxation.

space group = R-3m
total moment = 0.000 μB per formula unit
formation energy (no corrections) = -23.667 eV per formula unit

Cell and atoms, written as extended XYZ:
```
15
Lattice="-4.060 1.418 -6.698 7.686 -2.039 -0.362 -5.578 -5.866 2.139" Properties=species:S:1:pos:R:3 pbc="T T T"
Na 0.000 0.000 0.000
Na 3.843 -1.019 -0.181
Na 1.813 -0.310 -3.530
Ce -2.789 -2.933 1.070
Sc -4.819 -2.224 -2.279
Sc -0.976 -3.243 -2.460
Sc 1.054 -3.953 0.889
Se 1.373 -2.346 -1.329
Se -3.325 -4.140 -3.591
Se -0.732 -1.596 -4.624
Se -1.220 -4.891 -0.296
Se -4.411 -0.623 -4.450
Se 2.459 -5.864 -0.470
Se -2.469 -1.301 -1.246
Se 0.517 -5.186 -3.674
```

---

2.
## NaCeSc2Se4 (GGA-PBE)

Data for NaCeSc2Se4 after structural relaxation.

space group = P2/m
D(E_F) = 1.008 states/eV per atom
total moment = 1.239 μB per formula unit
formation energy (no corrections) = -13.092 eV per formula unit

Cell and atoms, written as extended XYZ:
```
8
Lattice="-3.688 -0.688 1.329 2.603 -3.402 5.462 -0.666 6.849 1.697" Properties=species:S:1:pos:R:3 pbc="T T T"
Na -0.543 -2.045 3.395
Ce 0.000 0.000 0.000
Sc -2.177 3.081 1.513
Sc 0.968 1.724 3.579
Se -1.344 0.631 2.558
Se -0.408 2.129 5.929
Se 0.151 4.147 2.564
Se 1.786 -0.699 4.594
```

---

3.
## Na4CeSc3Se8 (GGA-PBE)

Data for Na4CeSc3Se8 after structural relaxation.

space group = R-3m
D(E_F) = 0.460 states/eV per atom
total moment = 0.976 μB per formula unit
formation energy (no corrections) = -25.227 eV per formula unit

Cell and atoms, written as extended XYZ:
```
16
Lattice="-4.991 -5.936 -2.212 3.259 -4.949 5.927 -2.976 7.182 2.144" Properties=species:S:1:pos:R:3 pbc="T T T"
Na -2.496 -2.968 -1.106
Na -3.984 0.623 -0.034
Na 0.000 0.000 0.000
Na -1.488 3.591 1.072
Ce 1.630 -2.475 2.964
Sc -0.866 -5.443 1.858
Sc -2.354 -1.851 2.930
Sc 0.142 1.117 4.036
Se -1.787 1.934 5.832
Se -0.372 -1.481 4.813
Se -1.933 0.798 2.222
Se -4.160 -0.888 4.781
Se -0.548 -2.815 1.078
Se -2.775 -4.501 3.637
Se -4.336 -2.222 1.047
Se -2.921 -5.637 0.027
```